DFT (PBE+U) results for a relaxed BaAlFeO4 crystal.

Final energy (eV/atom): -6.851
V (Å³ per cell): 120

a = 5.582 Å, b = 5.582 Å, c = 5.514 Å
α = 120.41°, β = 120.41°, γ = 90.00°
Site moments in Bohr magnetons follow the coordinates.
Positions (direct):
Ba1 0.000 0.000 0.000  0.00
O1 0.497 0.608 0.745  0.14
O2 0.248 0.137 0.745  0.14
O3 0.863 0.503 0.255  0.14
O4 0.392 0.752 0.255  0.14
Fe1 0.250 0.750 0.500  4.23
Al1 0.500 0.500 0.000  0.02